(1)
Compound: MnAlRh2
Source: the Alexandria database
Functional: GGA-PBE
Structure: relaxed

Cell: 3.0126 4.1862 8.8417 Å, 90.00 90.00 90.00°
Last column: nearest neighbours and their distance in Å.
Space group Imm2 (No. 44)
Inequivalent atoms, fractional coordinates:
Mn1 0.0000 0.0000 0.0000 x2  6 Rh 2.58-2.65, 2 Al 2.69
Al1 0.0000 0.5000 0.2482 x2  6 Rh 2.57-2.58, 2 Mn 2.69
Rh1 0.0000 0.0000 0.5122 x2  2 Al 2.57, 4 Mn 2.58, 2 Rh 2.79
Rh2 0.0000 0.5000 0.7459 x2  4 Al 2.58, 2 Mn 2.65, 2 Rh 2.79

Results
Its uncorrected energy is -0.542 Ry per atom. Its calculated volume is 13.9 A^3/atom.

---

(2)
Compound: MnAl4Rh
Source: the Alexandria database
Functional: GGA-PBE
Structure: relaxed

Cell: 7.1236 7.1236 7.1236 Å, 90.00 90.00 90.00°
Last column: nearest neighbours and their distance in Å.
Space group F-43m (No. 216)
Inequivalent atoms, fractional coordinates:
Mn1 0.0000 0.0000 0.0000 x4  12 Al 2.95, 4 Rh 3.08
Al1 0.1252 0.1252 0.3748 x16  6 Al 2.51-2.52
Rh1 0.2500 0.2500 0.7500 x4  12 Al 2.95, 4 Mn 3.08

Results
Its uncorrected energy is -0.387 Ry per atom. Its calculated volume is 15.1 A^3/atom.

---

(3)
Compound: MnAlRh2
Source: the Alexandria database
Functional: GGA-PBE
Structure: relaxed

Cell: 2.8702 2.8702 24.1061 Å, 90.00 90.00 120.00°
Last column: nearest neighbours and their distance in Å.
Space group R-3m (No. 166, hexagonal axes)
Inequivalent atoms, fractional coordinates:
Mn1 0.0000 0.0000 0.0000 x3  6 Rh 2.65, 6 Mn 2.87
Al1 0.0000 0.0000 0.5000 x3  6 Rh 2.56
Rh1 0.0000 0.0000 0.2473 x6  3 Al 2.56, 3 Mn 2.65

Results
Its uncorrected energy is -0.535 Ry per atom. Its calculated volume is 14.3 A^3/atom.

---

(4)
Compound: MnAl3Rh4
Source: the Alexandria database
Functional: GGA-PBE
Structure: relaxed

Cell: 3.0140 4.2635 8.5183 Å, 90.00 90.00 90.00°
Last column: nearest neighbours and their distance in Å.
Space group Pmmm (No. 47)
Inequivalent atoms, fractional coordinates:
Mn1 0.0000 0.0000 0.0000 x1  8 Rh 2.61-2.65
Al1 0.0000 0.0000 0.5000 x1  8 Rh 2.57-2.61
Al2 0.0000 0.5000 0.2468 x2  8 Rh 2.59-2.63
Rh1 0.5000 0.0000 0.2560 x2  6 Al 2.57-2.61, 2 Mn 2.65
Rh2 0.5000 0.5000 0.0000 x1  4 Al 2.59, 4 Mn 2.61
Rh3 0.5000 0.5000 0.5000 x1  8 Al 2.61-2.63

Results
Its uncorrected energy is -0.523 Ry per atom. Its calculated volume is 13.7 A^3/atom.

---

(5)
Compound: MnAl2Rh3
Source: the Alexandria database
Functional: GGA-PBE
Structure: relaxed

Cell: 3.0130 3.0130 9.1089 Å, 90.00 90.00 90.00°
Last column: nearest neighbours and their distance in Å.
Space group P4/mmm (No. 123)
Inequivalent atoms, fractional coordinates:
Mn1 0.0000 0.0000 0.0000 x1  8 Rh 2.66
Al1 0.0000 0.0000 0.3320 x2  8 Rh 2.57-2.62
Rh1 0.5000 0.5000 0.1746 x2  4 Al 2.57, 4 Mn 2.66
Rh2 0.5000 0.5000 0.5000 x1  8 Al 2.62

Results
Its uncorrected energy is -0.534 Ry per atom. Its calculated volume is 13.8 A^3/atom.

---

(6)
Compound: MnAlRh2
Source: the Alexandria database
Functional: GGA-PBE
Structure: relaxed

Cell: 2.7409 2.7409 25.1982 Å, 90.00 90.00 120.00°
Last column: nearest neighbours and their distance in Å.
Space group R3m (No. 160, hexagonal axes)
Inequivalent atoms, fractional coordinates:
Mn1 0.0000 0.0000 0.0000 x3  3 Rh 2.54, 3 Al 2.61, 6 Mn 2.74
Al1 0.0000 0.0000 0.7488 x3  3 Rh 2.57, 3 Mn 2.61, 6 Al 2.74
Rh1 0.0000 0.0000 0.2545 x3  3 Mn 2.54, 9 Rh 2.74-2.81
Rh2 0.0000 0.0000 0.4958 x3  3 Al 2.57, 9 Rh 2.74-2.81

Results
Its uncorrected energy is -0.521 Ry per atom. Its calculated volume is 13.7 A^3/atom.

---

(7)
Compound: MnAlRh3
Source: the Alexandria database
Functional: GGA-PBE
Structure: relaxed

Cell: 4.3825 4.3825 4.3825 Å, 90.00 90.00 90.00°
Last column: nearest neighbours and their distance in Å.
Space group Pm-3m (No. 221)
Inequivalent atoms, fractional coordinates:
Mn1 0.0000 0.0000 0.0000 x1  12 Rh 3.10
Al1 0.5000 0.5000 0.5000 x1  6 Rh 2.19
Rh1 0.0000 0.5000 0.5000 x3  2 Al 2.19

Results
Its uncorrected energy is -0.442 Ry per atom. Its calculated volume is 16.8 A^3/atom.

---

(8)
Compound: MnAlRh2
Source: the Alexandria database
Functional: GGA-PBE
Structure: relaxed

Cell: 2.8391 3.7790 5.2708 Å, 90.00 90.00 90.00°
Last column: nearest neighbours and their distance in Å.
Space group Pmm2 (No. 25)
Inequivalent atoms, fractional coordinates:
Mn1 0.0000 0.0000 0.0000 x1  6 Rh 2.58-2.69, 4 Al 2.82, 2 Mn 2.84
Al1 0.5000 0.5000 0.7081 x1  6 Rh 2.58-2.69, 4 Mn 2.82, 2 Al 2.84
Rh1 0.0000 0.0000 0.5111 x1  2 Mn 2.58-2.69, 4 Al 2.58, 6 Rh 2.84-2.88
Rh2 0.5000 0.5000 0.1979 x1  2 Al 2.58-2.69, 4 Mn 2.58, 6 Rh 2.84-2.88

Results
Its uncorrected energy is -0.539 Ry per atom. Its calculated volume is 14.1 A^3/atom.

---

(9)
Compound: Mn2AlRh2
Source: the Alexandria database
Functional: GGA-PBE
Structure: relaxed

Cell: 7.0009 7.0009 3.0927 Å, 90.00 90.00 90.00°
Last column: nearest neighbours and their distance in Å.
Space group P4/mbm (No. 127)
Inequivalent atoms, fractional coordinates:
Mn1 0.1520 0.3480 0.0000 x4  6 Rh 2.52-2.60
Al1 0.0000 0.0000 0.5000 x2  4 Rh 2.68
Rh1 0.1471 0.6471 0.5000 x4  6 Mn 2.52-2.60, 2 Al 2.68

Results
Its uncorrected energy is -0.549 Ry per atom. Its calculated volume is 15.2 A^3/atom.

---

(10)
Compound: MnAl5Rh6
Source: the Alexandria database
Functional: GGA-PBE
Structure: relaxed

Cell: 4.2566 12.7749 6.0187 Å, 90.00 90.00 90.00°
Last column: nearest neighbours and their distance in Å.
Space group Cmmm (No. 65)
Inequivalent atoms, fractional coordinates:
Mn1 0.0000 0.0000 0.0000 x2  8 Rh 2.62-2.63
Al1 0.0000 0.0000 0.5000 x2  8 Rh 2.59-2.62
Al2 0.0000 0.3337 0.5000 x4  8 Rh 2.58-2.60
Al3 0.0000 0.3361 0.0000 x4  8 Rh 2.60-2.62
Rh1 0.0000 0.1688 0.2515 x8  7 Al 2.58-2.62, 1 Mn 2.63
Rh2 0.0000 0.5000 0.2552 x4  6 Al 2.59-2.60, 2 Mn 2.62

Results
Its uncorrected energy is -0.512 Ry per atom. Its calculated volume is 13.6 A^3/atom.

---

(11)
Compound: MnAlRh2
Source: the Alexandria database
Functional: GGA-PBE
Structure: relaxed

Cell: 9.2197 2.9018 4.3573 Å, 90.00 107.09 90.00°
Last column: nearest neighbours and their distance in Å.
Space group Cm (No. 8)
Inequivalent atoms, fractional coordinates:
Mn1 0.0000 0.0000 0.0000 x2  7 Rh 2.59-2.63, 2 Al 2.81
Al1 0.2471 0.0000 0.6382 x2  7 Rh 2.57-2.63, 2 Mn 2.81
Rh1 0.0062 0.5000 0.5072 x2  3 Al 2.57-2.61, 4 Mn 2.61-2.63, 2 Rh 2.88
Rh2 0.2444 0.5000 0.1329 x2  3 Mn 2.59-2.60, 4 Al 2.60-2.63, 2 Rh 2.88

Results
Its uncorrected energy is -0.545 Ry per atom. Its calculated volume is 13.9 A^3/atom.

---

(12)
Compound: Mn3AlRh4
Source: the Alexandria database
Functional: GGA-PBE
Structure: relaxed

Cell: 3.0302 4.2779 8.5787 Å, 90.00 90.00 90.00°
Last column: nearest neighbours and their distance in Å.
Space group Pmmm (No. 47)
Inequivalent atoms, fractional coordinates:
Mn1 0.0000 0.0000 0.0000 x1  8 Rh 2.62-2.66
Mn2 0.0000 0.5000 0.2500 x2  8 Rh 2.62-2.63
Al1 0.0000 0.0000 0.5000 x1  8 Rh 2.60-2.62
Rh1 0.5000 0.0000 0.2543 x2  2 Al 2.60, 6 Mn 2.62-2.66
Rh2 0.5000 0.5000 0.0000 x1  8 Mn 2.62-2.63
Rh3 0.5000 0.5000 0.5000 x1  4 Al 2.62, 4 Mn 2.63

Results
Its uncorrected energy is -0.588 Ry per atom. Its calculated volume is 13.9 A^3/atom.

---

(13)
Compound: MnAl2Rh4
Source: the Alexandria database
Functional: GGA-PBE
Structure: relaxed

Cell: 5.8896 5.8896 5.9202 Å, 90.00 90.00 90.00°
Last column: nearest neighbours and their distance in Å.
Space group I4/mmm (No. 139)
Inequivalent atoms, fractional coordinates:
Mn1 0.0000 0.0000 0.0000 x2  8 Rh 2.55
Al1 0.0000 0.5000 0.0000 x4  8 Rh 2.55
Rh1 0.2500 0.2500 0.2500 x8  2 Mn 2.55, 4 Al 2.55

Results
Its uncorrected energy is -0.520 Ry per atom. Its calculated volume is 14.7 A^3/atom.

---

(14)
Compound: Mn2AlRh2
Source: the Alexandria database
Functional: GGA-PBE
Structure: relaxed

Cell: 7.0866 7.0866 2.7645 Å, 90.00 90.00 90.00°
Last column: nearest neighbours and their distance in Å.
Space group P4/mbm (No. 127)
Inequivalent atoms, fractional coordinates:
Mn1 0.1114 0.3886 0.0000 x4  1 Mn 2.23, 2 Rh 2.47
Al1 0.0000 0.0000 0.0000 x2  2 Al 2.76, 4 Mn 2.86, 8 Rh 2.94
Rh1 0.1839 0.6839 0.5000 x4  6 Mn 2.47-2.56, 2 Rh 2.76

Results
Its uncorrected energy is -0.541 Ry per atom. Its calculated volume is 13.9 A^3/atom.

---

(15)
Compound: Mn4AlRh
Source: the Alexandria database
Functional: GGA-PBE
Structure: relaxed

Cell: 6.6268 6.6268 6.6268 Å, 90.00 90.00 90.00°
Last column: nearest neighbours and their distance in Å.
Space group F-43m (No. 216)
Inequivalent atoms, fractional coordinates:
Mn1 0.1240 0.1240 0.3760 x16  6 Mn 2.32-2.36
Al1 0.2500 0.2500 0.7500 x4  12 Mn 2.75, 4 Rh 2.87
Rh1 0.0000 0.0000 0.0000 x4  12 Mn 2.75, 4 Al 2.87

Results
Its uncorrected energy is -0.586 Ry per atom. Its calculated volume is 12.1 A^3/atom.

---

(16)
Compound: Mn3Al4Rh
Source: the Alexandria database
Functional: GGA-PBE
Structure: relaxed

Cell: 2.9090 4.2145 8.4674 Å, 90.00 90.00 90.00°
Last column: nearest neighbours and their distance in Å.
Space group Pmmm (No. 47)
Inequivalent atoms, fractional coordinates:
Mn1 0.0000 0.0000 0.0000 x1  8 Al 2.56-2.57
Mn2 0.0000 0.5000 0.2448 x2  8 Al 2.53-2.60
Al1 0.5000 0.0000 0.2506 x2  6 Mn 2.56-2.57, 2 Rh 2.56
Al2 0.5000 0.5000 0.0000 x1  8 Mn 2.53-2.56
Al3 0.5000 0.5000 0.5000 x1  4 Rh 2.56, 4 Mn 2.60
Rh1 0.0000 0.0000 0.5000 x1  8 Al 2.56

Results
Its uncorrected energy is -0.490 Ry per atom. Its calculated volume is 13.0 A^3/atom.

---

(17)
Compound: MnAlRh4
Source: the Alexandria database
Functional: GGA-PBE
Structure: relaxed

Cell: 7.2042 7.2042 7.2042 Å, 90.00 90.00 90.00°
Last column: nearest neighbours and their distance in Å.
Space group F-43m (No. 216)
Inequivalent atoms, fractional coordinates:
Mn1 0.0000 0.0000 0.0000 x4  12 Rh 2.99, 4 Al 3.12
Al1 0.2500 0.2500 0.2500 x4  12 Rh 2.99, 4 Mn 3.12
Rh1 0.1249 0.1249 0.6249 x16  6 Rh 2.55

Results
Its uncorrected energy is -0.518 Ry per atom. Its calculated volume is 15.6 A^3/atom.

---

(18)
Compound: MnAlRh
Source: the Alexandria database
Functional: GGA-PBE
Structure: relaxed

Cell: 4.1880 4.1880 2.8152 Å, 90.00 90.00 120.00°
Last column: nearest neighbours and their distance in Å.
Space group P3m1 (No. 156)
Inequivalent atoms, fractional coordinates:
Mn1 0.0000 0.0000 0.0000 x1  3 Rh 2.62, 3 Al 2.64, 2 Mn 2.82
Al1 0.6667 0.3333 0.6192 x1  3 Rh 2.52, 3 Mn 2.64, 2 Al 2.82
Rh1 0.3333 0.6667 0.3619 x1  3 Al 2.52, 3 Mn 2.62, 2 Rh 2.82

Results
Its uncorrected energy is -0.524 Ry per atom. Its calculated volume is 14.3 A^3/atom.

---

(19)
Compound: MnAl3Rh2
Source: the Alexandria database
Functional: GGA-PBE
Structure: relaxed

Cell: 2.9659 2.9659 9.0547 Å, 90.00 90.00 90.00°
Last column: nearest neighbours and their distance in Å.
Space group P4/mmm (No. 123)
Inequivalent atoms, fractional coordinates:
Mn1 0.0000 0.0000 0.0000 x1  8 Al 2.57
Al1 0.5000 0.5000 0.1633 x2  4 Mn 2.57, 4 Rh 2.60
Al2 0.5000 0.5000 0.5000 x1  8 Rh 2.59
Rh1 0.0000 0.0000 0.3328 x2  8 Al 2.59-2.60

Results
Its uncorrected energy is -0.489 Ry per atom. Its calculated volume is 13.3 A^3/atom.

---

(20)
Compound: MnAlRh2
Source: the Alexandria database
Functional: GGA-PBE
Structure: relaxed

Cell: 6.6602 6.6602 5.5742 Å, 90.00 90.00 90.00°
Last column: nearest neighbours and their distance in Å.
Space group I-42d (No. 122)
Inequivalent atoms, fractional coordinates:
Mn1 0.0000 0.0000 0.0000 x4  4 Rh 2.52, 2 Al 2.79
Al1 0.0000 0.0000 0.5000 x4  4 Rh 2.40
Rh1 0.2364 0.7500 0.6250 x8  2 Al 2.40, 2 Mn 2.52

Results
Its uncorrected energy is -0.511 Ry per atom. Its calculated volume is 15.5 A^3/atom.

---

(21)
Compound: MnAlRh3
Source: the Alexandria database
Functional: GGA-PBE
Structure: relaxed

Cell: 4.4234 4.4234 4.4234 Å, 90.00 90.00 90.00°
Last column: nearest neighbours and their distance in Å.
Space group Pm-3m (No. 221)
Inequivalent atoms, fractional coordinates:
Mn1 0.0000 0.0000 0.0000 x1  6 Rh 2.21
Al1 0.5000 0.5000 0.5000 x1  12 Rh 3.13
Rh1 0.0000 0.0000 0.5000 x3  2 Mn 2.21

Results
Its uncorrected energy is -0.460 Ry per atom. Its calculated volume is 17.3 A^3/atom.

---

(22)
Compound: MnAlRh2
Source: the Alexandria database
Functional: GGA-PBE
Structure: relaxed

Cell: 4.2641 4.2641 3.0291 Å, 90.00 90.00 90.00°
Last column: nearest neighbours and their distance in Å.
Space group P4/mmm (No. 123)
Inequivalent atoms, fractional coordinates:
Mn1 0.0000 0.0000 0.0000 x1  8 Rh 2.62
Al1 0.5000 0.5000 0.0000 x1  8 Rh 2.62
Rh1 0.0000 0.5000 0.5000 x2  4 Mn 2.62, 4 Al 2.62

Results
Its uncorrected energy is -0.557 Ry per atom. Its calculated volume is 13.8 A^3/atom.

---

(23)
Compound: MnAlSb2Rh
Source: the Alexandria database
Functional: GGA-PBE
Structure: relaxed

Cell: 5.2146 5.2146 4.5919 Å, 90.00 90.00 90.00°
Last column: nearest neighbours and their distance in Å.
Space group P4/mmm (No. 123)
Inequivalent atoms, fractional coordinates:
Mn1 0.0000 0.0000 0.0000 x1  8 Sb 3.47, 4 Al 3.69
Al1 0.5000 0.5000 0.0000 x1  2 Rh 2.30
Sb1 0.0000 0.5000 0.5000 x2  2 Rh 2.61
Rh1 0.5000 0.5000 0.5000 x1  2 Al 2.30

Results
Its uncorrected energy is -0.389 Ry per atom. Its calculated volume is 25.0 A^3/atom.

---

(24)
Compound: Sc2Mn2Al5Rh
Source: the Alexandria database
Functional: GGA-PBE
Structure: relaxed

Cell: 10.6078 10.6078 2.8950 Å, 90.00 90.00 90.00°
Last column: nearest neighbours and their distance in Å.
Space group P4/mbm (No. 127)
Inequivalent atoms, fractional coordinates:
Sc1 0.1852 0.3148 0.0000 x4  1 Mn 2.71, 2 Sc 2.90
Mn1 0.1343 0.6343 0.0000 x4  6 Al 2.48-2.51, 1 Sc 2.71
Al1 0.0000 0.5000 0.5000 x2  4 Mn 2.48
Al2 0.0511 0.8083 0.5000 x8  2 Mn 2.51, 2 Rh 2.55
Rh1 0.0000 0.0000 0.0000 x2  8 Al 2.55

Results
Its uncorrected energy is -0.445 Ry per atom. Its calculated volume is 16.3 A^3/atom.

---

(25)
Compound: MnAlSiRh2
Source: the Alexandria database
Functional: GGA-PBE
Structure: relaxed

Cell: 4.4835 4.4835 4.2736 Å, 90.00 90.00 90.00°
Last column: nearest neighbours and their distance in Å.
Space group P4/mmm (No. 123)
Inequivalent atoms, fractional coordinates:
Mn1 0.0000 0.0000 0.0000 x1  2 Si 2.14, 4 Rh 2.24
Al1 0.5000 0.5000 0.5000 x1  8 Rh 3.10, 4 Si 3.17
Si1 0.0000 0.0000 0.5000 x1  2 Mn 2.14
Rh1 0.0000 0.5000 0.0000 x2  2 Mn 2.24

Results
Its uncorrected energy is -0.436 Ry per atom. Its calculated volume is 17.2 A^3/atom.

---

(26)
Compound: Ti3Mn2Al3Rh
Source: the Alexandria database
Functional: GGA-PBE
Structure: relaxed

Cell: 7.2571 7.2571 2.9335 Å, 90.00 90.00 120.00°
Last column: nearest neighbours and their distance in Å.
Space group P-62m (No. 189)
Inequivalent atoms, fractional coordinates:
Ti1 0.0000 0.3865 0.0000 x3  4 Mn 2.69, 6 Al 2.80-2.91, 1 Rh 2.80, 2 Ti 2.93
Mn1 0.3333 0.6667 0.5000 x2  3 Al 2.61, 6 Ti 2.69
Al1 0.0000 0.7149 0.5000 x3  2 Rh 2.54, 2 Mn 2.61, 2 Ti 2.80
Rh1 0.0000 0.0000 0.0000 x1  6 Al 2.54, 3 Ti 2.80

Results
Its uncorrected energy is -0.526 Ry per atom. Its calculated volume is 14.9 A^3/atom.